[1]
Here is an optimized crystal structure of KDyBeO3 from Alexandria via LeMat-Bulk. Energies are from PBE-GGA.

abc: 3.371 7.628 7.497
angles: 106.41 90.00 90.00
Fractional coordinates of all 12 atoms:
K (0.250, 0.188, 0.216)
K (0.750, 0.812, 0.784)
Dy (0.250, 0.658, 0.166)
Dy (0.750, 0.342, 0.834)
Be (0.250, 0.064, 0.604)
Be (0.750, 0.936, 0.396)
O (0.750, 0.865, 0.180)
O (0.250, 0.135, 0.820)
O (0.250, 0.863, 0.469)
O (0.750, 0.137, 0.531)
O (0.750, 0.455, 0.146)
O (0.250, 0.545, 0.854)

Summary:
Magnetization: 0.00 μB per formula unit
Total DFT energy (no corrections): -80.70 eV/cell



[2]
Here is an optimized crystal structure of KDyBeS3 from Alexandria via LeMat-Bulk. Energies are from PBE-GGA.

abc: 3.859 8.908 9.081
angles: 107.96 90.00 90.00
Fractional coordinates of all 12 atoms:
K (0.250, 0.198, 0.229)
K (0.750, 0.802, 0.771)
Dy (0.250, 0.666, 0.151)
Dy (0.750, 0.334, 0.849)
Be (0.250, 0.075, 0.603)
Be (0.750, 0.925, 0.397)
S (0.750, 0.885, 0.161)
S (0.250, 0.115, 0.839)
S (0.250, 0.833, 0.472)
S (0.750, 0.167, 0.528)
S (0.750, 0.456, 0.162)
S (0.250, 0.544, 0.838)

Summary:
Magnetization: 0.00 μB per formula unit
Total DFT energy (no corrections): -62.36 eV/cell



[3]
Here is an optimized crystal structure of KDyBeSe3 from Alexandria via LeMat-Bulk. Energies are from PBE-GGA.

abc: 4.009 9.273 9.493
angles: 108.46 90.00 90.00
Fractional coordinates of all 12 atoms:
K (0.250, 0.201, 0.232)
K (0.750, 0.799, 0.768)
Dy (0.250, 0.668, 0.147)
Dy (0.750, 0.332, 0.853)
Be (0.250, 0.077, 0.603)
Be (0.750, 0.923, 0.397)
Se (0.750, 0.890, 0.156)
Se (0.250, 0.110, 0.844)
Se (0.250, 0.825, 0.472)
Se (0.750, 0.175, 0.528)
Se (0.750, 0.459, 0.167)
Se (0.250, 0.541, 0.833)

Summary:
Magnetization: 0.00 μB per formula unit
Total DFT energy (no corrections): -56.57 eV/cell



[4]
Here is an optimized crystal structure of LaDy2Be from Alexandria via LeMat-Bulk. Energies are from PBE-GGA.

abc: 3.471 3.471 8.931
angles: 90.00 90.00 90.00
Fractional coordinates of all 4 atoms:
Be (0.500, 0.500, 0.000)
La (0.500, 0.500, 0.500)
Dy (0.000, 0.000, 0.817)
Dy (0.000, 0.000, 0.183)

Summary:
Offset from the most stable computed form: 0.0 meV/atom
Magnetization: 0.00 μB per formula unit
E_form: 7 kJ/mol of atoms



Which value of magnetization does entry 4 give? 0.00 μB per formula unit